# 1
Below is crystalline TbPbN at its relaxed geometry, with properties calculated at the GGA-PBE level.

Cell: 6.8372 6.8372 5.0320 Å, 90.00 90.00 120.00°
Last column: nearest neighbours and their distance in Å.
Positions (direct):
Tb 0.0000 0.0000 0.0000  3 Pb 3.22, 6 N 3.41
Tb 0.3333 0.6667 0.5000  3 N 2.27
Tb 0.6667 0.3333 0.5000  3 N 2.27
Pb 0.0000 0.4716 0.0000  2 N 2.68
Pb 0.4716 0.0000 0.0000  2 N 2.68
Pb 0.5284 0.5284 0.0000  2 N 2.68
N 0.0000 0.3358 0.5000  2 Tb 2.27
N 0.3358 0.0000 0.5000  2 Tb 2.27
N 0.6642 0.6642 0.5000  2 Tb 2.27

Summary:
symmetry	P-62m

# 2
Below is crystalline NdSmCu at its relaxed geometry, with properties calculated at the GGA-PBE level.

Cell: 4.8687 4.8687 4.8687 Å, 60.00 60.00 60.00°
Last column: nearest neighbours and their distance in Å.
Positions (direct):
Nd 0.0000 0.0000 0.0000  4 Sm 2.98
Sm 0.7500 0.7500 0.7500  4 Nd 2.98, 4 Cu 2.98
Cu 0.5000 0.5000 0.5000  4 Sm 2.98

Summary:
formation energy	0.604	eV per atom
symmetry	F-43m
relative energy among the computed polymorphs	0	meV/atom

# 3
Below is crystalline LaYGa4Ir2 at its relaxed geometry, with properties calculated at the GGA-PBE level.

Cell: 4.2522 7.2071 5.5412 Å, 90.00 112.11 90.00°
Last column: nearest neighbours and their distance in Å.
Positions (direct):
La 0.0000 0.0000 0.0000  3 Ir 2.87-3.13, 4 Ga 3.18-3.19
Y 0.8568 0.5000 0.7126  3 Ir 2.92-3.09, 6 Ga 3.11-3.18
Ga 0.2846 0.2023 0.5632  3 Ir 2.59-2.66
Ga 0.2846 0.7977 0.5632  3 Ir 2.59-2.66
Ga 0.5762 0.3098 0.1526  3 Ir 2.61-2.68, 1 Ga 2.74
Ga 0.5762 0.6902 0.1526  3 Ir 2.61-2.68, 1 Ga 2.74
Ir 0.1393 0.5000 0.2811  6 Ga 2.59-2.61
Ir 0.7253 0.0000 0.4407  6 Ga 2.65-2.68, 1 La 2.87

Summary:
symmetry	Pm

# 4
Below is crystalline MgSbPt at its relaxed geometry, with properties calculated at the GGA-PBE level.

Cell: 6.9611 6.9611 4.5346 Å, 90.00 90.00 120.00°
Last column: nearest neighbours and their distance in Å.
Positions (direct):
Mg 0.0000 0.4525 0.0000  2 Pt 2.72
Mg 0.4525 0.0000 0.0000  2 Pt 2.72
Mg 0.5475 0.5475 0.0000  2 Pt 2.72
Sb 0.0000 0.0000 0.0000  6 Pt 2.81
Sb 0.3333 0.6667 0.5000  3 Pt 2.72
Sb 0.6667 0.3333 0.5000  3 Pt 2.72
Pt 0.0000 0.2373 0.5000  4 Sb 2.72-2.81, 2 Mg 2.72, 2 Pt 2.86
Pt 0.2373 0.0000 0.5000  4 Sb 2.72-2.81, 2 Mg 2.72, 2 Pt 2.86
Pt 0.7627 0.7627 0.5000  4 Sb 2.72-2.81, 2 Mg 2.72, 2 Pt 2.86

Summary:
symmetry	P-62m

# 5
Below is crystalline PdSCl at its relaxed geometry, with properties calculated at the GGA-PBE level.

Cell: 8.9768 9.3462 16.3856 Å, 90.00 121.44 90.00°
Last column: nearest neighbours and their distance in Å.
Positions (direct):
Pd 0.0451 0.1976 0.0186  2 S 2.29-2.30, 2 Cl 2.38-2.39
Pd 0.0451 0.3024 0.5186  2 S 2.29-2.30, 2 Cl 2.38-2.39
Pd 0.0809 0.0975 0.6838  2 S 2.29-2.30, 2 Cl 2.39
Pd 0.0809 0.4025 0.1838  2 S 2.29-2.30, 2 Cl 2.39
Pd 0.2810 0.0810 0.4779  2 S 2.30, 2 Cl 2.39
Pd 0.2810 0.4190 0.9779  2 S 2.30, 2 Cl 2.39
Pd 0.3186 0.6230 0.1436  2 S 2.30, 2 Cl 2.38-2.39
Pd 0.3186 0.8770 0.6436  2 S 2.30, 2 Cl 2.38-2.39
Pd 0.6814 0.1230 0.3564  2 S 2.30, 2 Cl 2.38-2.39
Pd 0.6814 0.3770 0.8564  2 S 2.30, 2 Cl 2.38-2.39
Pd 0.7190 0.5810 0.0221  2 S 2.30, 2 Cl 2.39
Pd 0.7190 0.9190 0.5221  2 S 2.30, 2 Cl 2.39
Pd 0.9191 0.5975 0.8162  2 S 2.29-2.30, 2 Cl 2.39
Pd 0.9191 0.9025 0.3162  2 S 2.29-2.30, 2 Cl 2.39
Pd 0.9549 0.6976 0.4814  2 S 2.29-2.30, 2 Cl 2.38-2.39
Pd 0.9549 0.8024 0.9814  2 S 2.29-2.30, 2 Cl 2.38-2.39
S 0.1150 0.7293 0.4104  1 S 2.13, 2 Pd 2.29
S 0.1150 0.7707 0.9104  1 S 2.13, 2 Pd 2.29
S 0.2719 0.2424 0.6689  1 S 2.13, 2 Pd 2.30
S 0.2719 0.2576 0.1689  1 S 2.13, 2 Pd 2.30
S 0.3439 0.6583 0.0126  1 S 2.13, 2 Pd 2.30
S 0.3439 0.8417 0.5126  1 S 2.13, 2 Pd 2.30
S 0.4255 0.0992 0.6415  1 S 2.13, 2 Pd 2.30
S 0.4255 0.4008 0.1415  1 S 2.13, 2 Pd 2.30
S 0.5745 0.5992 0.8585  1 S 2.13, 2 Pd 2.30
S 0.5745 0.9008 0.3585  1 S 2.13, 2 Pd 2.30
S 0.6561 0.1583 0.4874  1 S 2.13, 2 Pd 2.30
S 0.6561 0.3417 0.9874  1 S 2.13, 2 Pd 2.30
S 0.7281 0.7424 0.8311  1 S 2.13, 2 Pd 2.30
S 0.7281 0.7576 0.3311  1 S 2.13, 2 Pd 2.30
S 0.8850 0.2293 0.0896  1 S 2.13, 2 Pd 2.29
S 0.8850 0.2707 0.5896  1 S 2.13, 2 Pd 2.29
Cl 0.1395 0.0372 0.3101  2 Pd 2.39
Cl 0.1395 0.4628 0.8101  2 Pd 2.39
Cl 0.2082 0.6415 0.6318  2 Pd 2.38
Cl 0.2082 0.8585 0.1318  2 Pd 2.38
Cl 0.2350 0.1667 0.9583  2 Pd 2.39
Cl 0.2350 0.3333 0.4583  2 Pd 2.39
Cl 0.3088 0.5661 0.2830  2 Pd 2.39
Cl 0.3088 0.9339 0.7830  2 Pd 2.39
Cl 0.6912 0.0661 0.2170  2 Pd 2.39
Cl 0.6912 0.4339 0.7170  2 Pd 2.39
Cl 0.7650 0.6667 0.5417  2 Pd 2.39
Cl 0.7650 0.8333 0.0417  2 Pd 2.39
Cl 0.7918 0.1415 0.8682  2 Pd 2.38
Cl 0.7918 0.3585 0.3682  2 Pd 2.38
Cl 0.8605 0.5372 0.1899  2 Pd 2.39
Cl 0.8605 0.9628 0.6899  2 Pd 2.39

Summary:
symmetry	P2_1/c

# 6
Below is crystalline Ho3HfTl2C2 at its relaxed geometry, with properties calculated at the GGA-PBE level.

Cell: 3.5147 3.5147 15.9052 Å, 90.00 90.00 120.00°
Last column: nearest neighbours and their distance in Å.
Positions (direct):
Ho 0.0000 0.0000 0.0000  3 C 2.44
Ho 0.0000 0.0000 0.3381  3 C 2.53
Ho 0.6667 0.3333 0.8294  3 C 2.45
Hf 0.6667 0.3333 0.4991  3 C 2.29
Tl 0.0000 0.0000 0.6597  3 Hf 3.26, 3 Ho 3.38, 6 Tl 3.51
Tl 0.6667 0.3333 0.1715  6 Ho 3.34-3.40, 6 Tl 3.51
C 0.3333 0.6667 0.4327  3 Hf 2.29, 3 Ho 2.53
C 0.3333 0.6667 0.9152  6 Ho 2.44-2.45

Summary:
symmetry	P3m1

# 7
Below is crystalline TaP2Ir2 at its relaxed geometry, with properties calculated at the GGA-PBE level.

Cell: 4.0650 4.0650 9.2132 Å, 90.00 90.00 90.00°
Last column: nearest neighbours and their distance in Å.
Positions (direct):
Ta 0.2500 0.2500 0.2164  4 P 2.85, 5 Ir 2.99-3.17
Ta 0.7500 0.7500 0.7836  4 P 2.85, 5 Ir 2.99-3.17
P 0.2500 0.2500 0.6325  5 Ir 2.21-2.37
P 0.2500 0.7500 0.0000  4 Ir 2.35
P 0.7500 0.2500 0.0000  4 Ir 2.35
P 0.7500 0.7500 0.3675  5 Ir 2.21-2.37
Ir 0.2500 0.2500 0.8726  5 P 2.21-2.35
Ir 0.2500 0.7500 0.5000  4 P 2.37
Ir 0.7500 0.2500 0.5000  4 P 2.37
Ir 0.7500 0.7500 0.1274  5 P 2.21-2.35

Summary:
symmetry	P4/nmm

# 8
Below is crystalline KTmTeO at its relaxed geometry, with properties calculated at the GGA-PBE level.

Cell: 4.1840 4.1840 10.6189 Å, 90.00 90.00 90.00°
Last column: nearest neighbours and their distance in Å.
Positions (direct):
K 0.2500 0.7500 0.0000  4 K 2.96, 4 Te 3.29
K 0.7500 0.2500 0.0000  4 K 2.96, 4 Te 3.29
Tm 0.2500 0.2500 0.4150  4 O 2.28
Tm 0.7500 0.7500 0.5850  4 O 2.28
Te 0.2500 0.2500 0.7614  4 K 3.29, 4 O 3.48, 5 Tm 3.50-3.68
Te 0.7500 0.7500 0.2386  4 K 3.29, 4 O 3.48, 5 Tm 3.50-3.68
O 0.2500 0.7500 0.5000  4 Tm 2.28
O 0.7500 0.2500 0.5000  4 Tm 2.28

Summary:
symmetry	P4/nmm
relative energy among the computed polymorphs	272	meV/atom

# 9
Below is crystalline Zn2Mo8C3N3 at its relaxed geometry, with properties calculated at the GGA-PBE level.

Cell: 3.0836 3.0836 23.3115 Å, 90.00 90.00 120.00°
Last column: nearest neighbours and their distance in Å.
Positions (direct):
Zn 0.3333 0.6667 0.2509  6 Mo 2.80-2.85, 6 Zn 3.08
Zn 0.6667 0.3333 0.7491  6 Mo 2.80-2.85, 6 Zn 3.08
Mo 0.0000 0.0000 0.1555  3 C 2.06
Mo 0.0000 0.0000 0.3438  3 N 2.13
Mo 0.0000 0.0000 0.6562  3 N 2.13
Mo 0.0000 0.0000 0.8445  3 C 2.06
Mo 0.3333 0.6667 0.0566  6 C 2.19-2.22
Mo 0.3333 0.6667 0.4511  6 N 2.11-2.23
Mo 0.6667 0.3333 0.5489  6 N 2.11-2.23
Mo 0.6667 0.3333 0.9434  6 C 2.19-2.22
C 0.0000 0.0000 0.0000  6 Mo 2.22
C 0.3333 0.6667 0.8888  6 Mo 2.06-2.19
C 0.6667 0.3333 0.1112  6 Mo 2.06-2.19
N 0.0000 0.0000 0.5000  6 Mo 2.11
N 0.3333 0.6667 0.6062  6 Mo 2.13-2.23
N 0.6667 0.3333 0.3938  6 Mo 2.13-2.23

Summary:
symmetry	P-3m1

# 10
Below is crystalline LuMgAlPd at its relaxed geometry, with properties calculated at the GGA-PBE level.

Cell: 4.7025 4.7025 4.7025 Å, 60.00 60.00 60.00°
Last column: nearest neighbours and their distance in Å.
Positions (direct):
Lu 0.0000 0.0000 0.0000  4 Mg 2.88, 4 Al 2.88
Mg 0.7500 0.7500 0.7500  4 Pd 2.88, 4 Lu 2.88
Al 0.2500 0.2500 0.2500  4 Pd 2.88, 4 Lu 2.88
Pd 0.5000 0.5000 0.5000  4 Mg 2.88, 4 Al 2.88

Summary:
symmetry	F-43m
relative energy among the computed polymorphs	102	meV/atom

# 11
Below is crystalline RbPa2S5 at its relaxed geometry, with properties calculated at the GGA-PBE level.

Cell: 8.1950 8.1950 8.1950 Å, 150.22 130.57 58.78°
Last column: nearest neighbours and their distance in Å.
Positions (direct):
Rb 0.0000 0.0000 0.0000  10 S 3.43-3.54
Pa 0.3148 0.8148 0.5000  7 S 2.64-2.78
Pa 0.6852 0.1852 0.5000  7 S 2.64-2.78
S 0.0870 0.3397 0.7473  3 Pa 2.75-2.78
S 0.4076 0.6603 0.7473  3 Pa 2.75-2.78
S 0.5000 0.0000 0.5000  2 Pa 2.64
S 0.5924 0.3397 0.2527  3 Pa 2.75-2.78
S 0.9130 0.6603 0.2527  3 Pa 2.75-2.78

Summary:
symmetry	Immm

Calculated values (eV per atom) of E_tot for the records, taken in order: -5.58; -3.79; -5.88; -4.34; -4.11; -6.29; -8.28; -5.30; -8.81; -4.18; -6.68.